Record 1
Entry from Alexandria via LeMat-Bulk: a relaxed structure of PuMnI (GGA-PBE).

Properties
The mass density comes out at 8.5 g/cm³. Its formation energy from raw total energies is -94 kJ/mol of formula units.

Lattice parameters (Å, degrees): 3.8251 21.1064 4.1076 90.00 90.00 90.00
Space group Cmcm (No. 63)
Asymmetric unit:
1 Pu 0.0000 0.0751 0.2500
2 Mn 0.0000 0.4645 0.2500
3 I 0.0000 0.3345 0.2500

Record 2
Entry from Alexandria via LeMat-Bulk: a relaxed structure of TbNdGaCo (GGA-PBE).

Properties
The mass density comes out at 7.8 g/cm³. The energy relative to the elements is -126.2 kJ/mol of formula units. For the energy above the most stable polymorph in this dataset, the calculation gives 0 meV/atom.

Lattice parameters (Å, degrees): 4.1450 4.2362 10.4320 90.00 90.00 90.00
Space group Amm2 (No. 38)
Asymmetric unit:
1 Tb 0.0000 0.0000 0.0000
2 Nd 0.5000 0.0000 0.7139
3 Ga 0.0000 0.0000 0.3015
4 Co 0.5000 0.0000 0.4325

Record 3
Entry from Alexandria via LeMat-Bulk: a relaxed structure of AgBr2O (GGA-PBE).

Properties
The mass density comes out at 6.0 g/cm³. Its formation energy from raw total energies is 198 kJ/mol of formula units. For the energy above the most stable polymorph in this dataset, the calculation gives 132 meV/atom.

Lattice parameters (Å, degrees): 3.8778 3.8778 18.0576 90.00 90.00 120.00
Space group R-3m (No. 166, hexagonal axes)
Asymmetric unit:
1 Ag 0.0000 0.0000 0.0000
2 Br 0.0000 0.0000 0.2472
3 O 0.0000 0.0000 0.5000

Record 4
Entry from Alexandria via LeMat-Bulk: a relaxed structure of La4Sm4Ho (GGA-PBE).

Properties
The mass density comes out at 7.0 g/cm³. The energy relative to the elements is 17.8 kJ/mol of formula units. For the energy above the most stable polymorph in this dataset, the calculation gives 0 meV/atom.

Lattice parameters (Å, degrees): 10.9750 10.9750 5.2093 90.00 90.00 90.00
Space group I4/mmm (No. 139)
Asymmetric unit:
1 La 0.1665 0.1665 0.0000
2 Sm 0.0000 0.3341 0.5000
3 Ho 0.0000 0.0000 0.5000